Y2SiRu after structural relaxation, computed with PBE.

Cell: 6.3723 6.3723 6.3723 Å, 148.90 138.69 52.60°
Element x y z (fractional)
Ru 0.4646 0.4646 0.0000
Si 0.3134 0.8134 0.5000
Y 0.9971 0.9971 0.0000
Y 0.7248 0.2248 0.5000

Computed properties:
As for the total energy: -7.38 eV per atom. Its theoretical density is 5.81 g/cm3. The value obtained for the uncorrected formation energy is -182 kJ/mol of formula units.